Record 1
# LaBe2Br | Alexandria | PBEsol | relaxed
# * raw formation energy: 192 kJ/mol of formula units
# * calculated density: 4.9 g/cm3
data_LaBe2Br
_chemical_formula_sum 'La3 Be6 Br3'
_symmetry_space_group_name_H-M 'R -3 m'
_symmetry_Int_Tables_number 166
_symmetry_space_group_name_Hall '-R 3 2"'
_cell_length_a 3.3080
_cell_length_b 3.3080
_cell_length_c 25.4407
_cell_angle_alpha 90.00
_cell_angle_beta 90.00
_cell_angle_gamma 120.00
loop_
_atom_site_label
_atom_site_type_symbol
_atom_site_fract_x
_atom_site_fract_y
_atom_site_fract_z
La1 La 0.0000 0.0000 0.0000
Be1 Be 0.0000 0.0000 0.2355
Br1 Br 0.0000 0.0000 0.5000


Record 2
# LaBe2Br | Alexandria | PBEsol | relaxed
# * raw formation energy: 223 kJ/mol of formula units
# * calculated density: 4.9 g/cm3
data_LaBe2Br
_chemical_formula_sum 'La4 Be8 Br4'
_symmetry_space_group_name_H-M 'F m -3 m'
_symmetry_Int_Tables_number 225
_symmetry_space_group_name_Hall '-F 4 2 3'
_cell_length_a 6.8435
_cell_length_b 6.8435
_cell_length_c 6.8435
_cell_angle_alpha 90.00
_cell_angle_beta 90.00
_cell_angle_gamma 90.00
loop_
_atom_site_label
_atom_site_type_symbol
_atom_site_fract_x
_atom_site_fract_y
_atom_site_fract_z
La1 La 0.0000 0.0000 0.0000
Be1 Be 0.2500 0.2500 0.2500
Br1 Br 0.0000 0.0000 0.5000


Record 3
# La2MnBeBr | Alexandria | PBEsol | relaxed
# * raw formation energy: -123 kJ/mol of formula units
# * calculated density: 6.4 g/cm3
data_La2MnBeBr
_chemical_formula_sum 'La2 Mn1 Be1 Br1'
_symmetry_space_group_name_H-M 'P 4/m m m'
_symmetry_Int_Tables_number 123
_symmetry_space_group_name_Hall '-P 4 2'
_cell_length_a 5.0718
_cell_length_b 5.0718
_cell_length_c 4.2589
_cell_angle_alpha 90.00
_cell_angle_beta 90.00
_cell_angle_gamma 90.00
loop_
_atom_site_label
_atom_site_type_symbol
_atom_site_fract_x
_atom_site_fract_y
_atom_site_fract_z
La1 La 0.0000 0.5000 0.0000
Mn1 Mn 0.0000 0.0000 0.0000
Be1 Be 0.0000 0.0000 0.5000
Br1 Br 0.5000 0.5000 0.5000


Record 4
# LaBeSe2Br | Alexandria | PBEsol | relaxed
# * raw formation energy: -521 kJ/mol of formula units
# * calculated density: 6.0 g/cm3
data_LaBeSe2Br
_chemical_formula_sum 'La1 Be1 Se2 Br1'
_symmetry_space_group_name_H-M 'P 4/m m m'
_symmetry_Int_Tables_number 123
_symmetry_space_group_name_Hall '-P 4 2'
_cell_length_a 4.8039
_cell_length_b 4.8039
_cell_length_c 4.5962
_cell_angle_alpha 90.00
_cell_angle_beta 90.00
_cell_angle_gamma 90.00
loop_
_atom_site_label
_atom_site_type_symbol
_atom_site_fract_x
_atom_site_fract_y
_atom_site_fract_z
La1 La 0.0000 0.0000 0.0000
Be1 Be 0.5000 0.5000 0.5000
Se1 Se 0.0000 0.5000 0.5000
Br1 Br 0.5000 0.5000 0.0000


Record 5
# LaBeSnBr2 | Alexandria | PBEsol | relaxed
# * raw formation energy: 8 kJ/mol of formula units
# * calculated density: 4.8 g/cm3
data_LaBeSnBr2
_chemical_formula_sum 'La1 Be1 Sn1 Br2'
_symmetry_space_group_name_H-M 'P 4/m m m'
_symmetry_Int_Tables_number 123
_symmetry_space_group_name_Hall '-P 4 2'
_cell_length_a 5.7390
_cell_length_b 5.7390
_cell_length_c 4.4410
_cell_angle_alpha 90.00
_cell_angle_beta 90.00
_cell_angle_gamma 90.00
loop_
_atom_site_label
_atom_site_type_symbol
_atom_site_fract_x
_atom_site_fract_y
_atom_site_fract_z
La1 La 0.0000 0.0000 0.0000
Be1 Be 0.5000 0.5000 0.0000
Sn1 Sn 0.5000 0.5000 0.5000
Br1 Br 0.0000 0.5000 0.5000


Record 6
# LiBeBr2 | Alexandria | PBEsol | relaxed
# * raw formation energy: -194 kJ/mol of formula units
# * calculated density: 3.3 g/cm3
data_LiBeBr2
_chemical_formula_sum 'Li3 Be3 Br6'
_symmetry_space_group_name_H-M 'R -3 m'
_symmetry_Int_Tables_number 166
_symmetry_space_group_name_Hall '-R 3 2"'
_cell_length_a 3.7259
_cell_length_b 3.7259
_cell_length_c 21.7940
_cell_angle_alpha 90.00
_cell_angle_beta 90.00
_cell_angle_gamma 120.00
loop_
_atom_site_label
_atom_site_type_symbol
_atom_site_fract_x
_atom_site_fract_y
_atom_site_fract_z
Li1 Li 0.0000 0.0000 0.0000
Be1 Be 0.0000 0.0000 0.5000
Br1 Br 0.0000 0.0000 0.4022


For the records above, the corresponding N(E_F) values read 2.637 3.662 2.416 0.142 4.957 0.445 states/eV/f.u..